No. 1
Material: In7Pb
Method: DFT, GGA-PBEsol
State: optimized geometry

```
data_In7Pb
_chemical_formula_sum 'In7 Pb1'
_space_group_name_H-M_alt 'P 1'
_space_group_IT_number 1
_space_group_name_Hall 'P 1'
_cell_length_a 6.633
_cell_length_b 6.633
_cell_length_c 6.633
_cell_angle_alpha 60.00
_cell_angle_beta 60.00
_cell_angle_gamma 60.00
loop_
_atom_site_label
_atom_site_type_symbol
_atom_site_fract_x
_atom_site_fract_y
_atom_site_fract_z
In1 In 0.000 0.000 0.000
In2 In 0.000 0.000 0.500
In3 In 0.000 0.500 0.000
In4 In 0.000 0.500 0.500
In5 In 0.500 0.000 0.000
In6 In 0.500 0.000 0.500
In7 In 0.500 0.500 0.000
Pb1 Pb 0.500 0.500 0.500
```

symmetry = Fm-3m, No. 225
energy of formation from the pure elements = 8 meV per atom

No. 2
Material: LiScNbNi2
Method: DFT, GGA-PBEsol
State: optimized geometry

```
data_LiScNbNi2
_chemical_formula_sum 'Li1 Sc1 Nb1 Ni2'
_space_group_name_H-M_alt 'P 1'
_space_group_IT_number 1
_space_group_name_Hall 'P 1'
_cell_length_a 4.293
_cell_length_b 4.293
_cell_length_c 4.191
_cell_angle_alpha 90.00
_cell_angle_beta 90.00
_cell_angle_gamma 90.00
loop_
_atom_site_label
_atom_site_type_symbol
_atom_site_fract_x
_atom_site_fract_y
_atom_site_fract_z
Li1 Li 0.000 0.000 0.000
Sc1 Sc 0.000 0.000 0.500
Nb1 Nb 0.500 0.500 0.000
Ni1 Ni 0.000 0.500 0.500
Ni2 Ni 0.500 0.000 0.500
```

symmetry = P4/mmm, No. 123
energy of formation from the pure elements = 965 meV per atom

No. 3
Material: PtRhAu2
Method: DFT, GGA-PBEsol
State: optimized geometry

```
data_PtRhAu2
_chemical_formula_sum 'Pt1 Rh1 Au2'
_space_group_name_H-M_alt 'P 1'
_space_group_IT_number 1
_space_group_name_Hall 'P 1'
_cell_length_a 2.754
_cell_length_b 4.762
_cell_length_c 4.786
_cell_angle_alpha 90.00
_cell_angle_beta 90.06
_cell_angle_gamma 90.00
loop_
_atom_site_label
_atom_site_type_symbol
_atom_site_fract_x
_atom_site_fract_y
_atom_site_fract_z
Pt1 Pt 0.000 0.000 0.000
Rh1 Rh 0.500 0.000 0.500
Au1 Au 0.247 0.500 0.748
Au2 Au 0.753 0.500 0.252
```

symmetry = P2/m, No. 10
energy of formation from the pure elements = 164 meV per atom

No. 4
Material: PIrSCl2
Method: DFT, GGA-PBEsol
State: optimized geometry

```
data_PIrSCl2
_chemical_formula_sum 'P1 Ir1 S1 Cl2'
_space_group_name_H-M_alt 'P 1'
_space_group_IT_number 1
_space_group_name_Hall 'P 1'
_cell_length_a 4.665
_cell_length_b 4.665
_cell_length_c 4.575
_cell_angle_alpha 90.00
_cell_angle_beta 90.00
_cell_angle_gamma 90.00
loop_
_atom_site_label
_atom_site_type_symbol
_atom_site_fract_x
_atom_site_fract_y
_atom_site_fract_z
P1 P 0.000 0.000 0.000
Ir1 Ir 0.000 0.000 0.500
S1 S 0.500 0.500 0.000
Cl1 Cl 0.000 0.500 0.500
Cl2 Cl 0.500 0.000 0.500
```

symmetry = P4/mmm, No. 123
uncorrected formation energy = 0.58 eV per atom